*i*
ScBeCuPb | OQMD via LeMat-Bulk | GGA-PBE | relaxed; volume = 17.56 Å³/atom; calculated density = 7.68 g/cm3; symmetry = F-43m, No. 216
1.0
0.0000 3.2748 3.2748
3.2748 0.0000 3.2748
3.2748 3.2748 0.0000
Sc Be Cu Pb
1 1 1 1
direct
0.7500 0.7500 0.7500
0.2500 0.2500 0.2500
0.5000 0.5000 0.5000
0.0000 0.0000 0.0000


*ii*
ScBeCuPb | OQMD via LeMat-Bulk | GGA-PBE | relaxed; volume = 17.73 Å³/atom; calculated density = 7.60 g/cm3; symmetry = F-43m, No. 216
1.0
0.0000 3.2851 3.2851
3.2851 0.0000 3.2851
3.2851 3.2851 0.0000
Cu Be Sc Pb
1 1 1 1
direct
0.0000 0.0000 0.0000
0.7500 0.7500 0.7500
0.5000 0.5000 0.5000
0.2500 0.2500 0.2500


*iii*
ScBeCuPb | OQMD via LeMat-Bulk | GGA-PBE | relaxed; volume = 17.25 Å³/atom; calculated density = 7.81 g/cm3; symmetry = F-43m, No. 216
1.0
0.0000 3.2554 3.2554
3.2554 0.0000 3.2554
3.2554 3.2554 0.0000
Be Pb Sc Cu
1 1 1 1
direct
0.5000 0.5000 0.5000
0.2500 0.2500 0.2500
0.7500 0.7500 0.7500
0.0000 0.0000 0.0000


Most stable structure, least stable structure: *iii*, *ii*.


*i*
ZrBeCuPb | OQMD via LeMat-Bulk | GGA-PBE | relaxed; volume = 17.50 Å³/atom; calculated density = 8.80 g/cm3; symmetry = F-43m, No. 216
1.0
0.0000 3.2711 3.2711
3.2711 0.0000 3.2711
3.2711 3.2711 0.0000
Zr Cu Be Pb
1 1 1 1
direct
0.5000 0.5000 0.5000
0.2500 0.2500 0.2500
0.7500 0.7500 0.7500
0.0000 0.0000 0.0000


*ii*
ZrBeCuPb | OQMD via LeMat-Bulk | GGA-PBE | relaxed; volume = 18.18 Å³/atom; calculated density = 8.47 g/cm3; symmetry = F-43m, No. 216
1.0
0.0000 3.3130 3.3130
3.3130 0.0000 3.3130
3.3130 3.3130 0.0000
Zr Cu Be Pb
1 1 1 1
direct
0.2500 0.2500 0.2500
0.7500 0.7500 0.7500
0.5000 0.5000 0.5000
0.0000 0.0000 0.0000


Most stable structure, least stable structure: *i*, *ii*.


*i*
BeCuSiPd | OQMD via LeMat-Bulk | GGA-PBE | relaxed; volume = 12.43 Å³/atom; calculated density = 6.92 g/cm3; symmetry = F-43m, No. 216
1.0
0.7372 -3.6175 1.8448
1.4597 -0.0886 3.8593
-2.4196 -1.2701 3.0927
Cu Be Si Pd
1 1 1 1
direct
0.2500 0.2500 0.2500
0.7500 0.7500 0.7500
0.0000 0.0000 0.0000
0.5000 0.5000 0.5000


*ii*
BeCuSiPd | OQMD via LeMat-Bulk | GGA-PBE | relaxed; volume = 12.06 Å³/atom; calculated density = 7.13 g/cm3; symmetry = F-43m, No. 216
1.0
-3.0255 -1.1700 2.4838
-2.8143 2.7049 1.2062
-3.8227 -0.2593 -1.4184
Be Pd Cu Si
1 1 1 1
direct
0.5000 0.5000 0.5000
0.2500 0.2500 0.2500
0.7500 0.7500 0.7500
0.0000 0.0000 0.0000


Most stable structure, least stable structure: *ii*, *i*.